1.
The following is a PBE calculation of an optimized crystal structure of SrTaAu2, from Alexandria via LeMat-Bulk.

a = 3.1394 Å, b = 4.3055 Å, c = 6.8216 Å
α = 90.00°, β = 90.00°, γ = 90.00°
Fractional coordinates of all 4 atoms:
Au 0.0000 0.0000 0.9654
Au 0.5000 0.5000 0.2308
Sr 0.0000 0.0000 0.4729
Ta 0.5000 0.5000 0.8309

formation energy = 0.171 eV per atom
offset from the most stable computed form = 299.4 meV/atom

2.
The following is a PBE calculation of an optimized crystal structure of NdPuH2O6, from Alexandria via LeMat-Bulk.

a = 4.7819 Å, b = 5.6202 Å, c = 5.8381 Å
α = 71.70°, β = 71.61°, γ = 61.63°
Last column: magnetic moment on the atom in μB.
Fractional coordinates of all 10 atoms:
Nd 0.8763 0.8110 0.5632  -0.01
Pu 0.2994 0.3209 0.0625  1.36
H 0.4940 0.7542 0.2398  0.00
H 0.2158 0.8732 0.8743  0.00
O 0.5607 0.2275 0.2898  -0.07
O 0.2709 0.8995 0.2402  -0.02
O 0.9343 0.5387 0.2796  -0.07
O 0.3289 0.7334 0.7704  -0.02
O 0.6552 0.1101 0.8438  -0.07
O 0.0261 0.3931 0.8516  -0.07

3.
The following is a PBE calculation of an optimized crystal structure of SmMg2Au, from Alexandria via LeMat-Bulk.

a = 4.9596 Å, b = 4.9596 Å, c = 4.9596 Å
α = 60.00°, β = 60.00°, γ = 60.00°
Fractional coordinates of all 4 atoms:
Mg 0.2500 0.2500 0.2500
Mg 0.7500 0.7500 0.7500
Au 0.5000 0.5000 0.5000
Sm 0.0000 0.0000 0.0000

formation energy = -0.317 eV per atom

4.
The following is a PBE calculation of an optimized crystal structure of Sr3SCl, from Alexandria via LeMat-Bulk.

a = 5.8721 Å, b = 5.8721 Å, c = 5.8721 Å
α = 90.00°, β = 90.00°, γ = 90.00°
Last column: magnetic moment on the atom in μB.
Fractional coordinates of all 5 atoms:
Sr 0.0000 0.5000 0.0000  0.10
Sr 0.0000 0.0000 0.5000  0.10
Sr 0.5000 0.0000 0.0000  0.07
S 0.0000 0.0000 0.0000  0.00
Cl 0.5000 0.5000 0.5000  0.05

formation energy without anion corrections = -954 meV/atom
offset from the most stable computed form = 0.0 meV/atom

5.
The following is a PBE calculation of an optimized crystal structure of LaAsHRu, from Alexandria via LeMat-Bulk.

a = 4.1979 Å, b = 4.1979 Å, c = 7.7658 Å
α = 90.00°, β = 90.00°, γ = 90.00°
Fractional coordinates of all 8 atoms:
La 0.5000 0.0000 0.6712
La 0.0000 0.5000 0.3288
As 0.0000 0.5000 0.8321
As 0.5000 0.0000 0.1679
H 0.0000 0.0000 0.5000
H 0.5000 0.5000 0.5000
Ru 0.5000 0.5000 0.0000
Ru 0.0000 0.0000 0.0000

6.
The following is a PBE calculation of an optimized crystal structure of Ba2NaLiHg, from Alexandria via LeMat-Bulk.

a = 6.6674 Å, b = 6.6674 Å, c = 5.2691 Å
α = 90.00°, β = 90.00°, γ = 90.00°
Fractional coordinates of all 5 atoms:
Na 0.5000 0.5000 0.5000
Li 0.0000 0.0000 0.5000
Hg 0.0000 0.0000 0.0000
Ba 0.0000 0.5000 0.0000
Ba 0.5000 0.0000 0.0000

formation energy = -0.123 eV per atom
offset from the most stable computed form = 0.0 meV/atom

7.
The following is a PBE calculation of an optimized crystal structure of TeH2Ru, from Alexandria via LeMat-Bulk.

a = 4.2703 Å, b = 4.2703 Å, c = 6.1254 Å
α = 69.60°, β = 69.60°, γ = 90.00°
Fractional coordinates of all 8 atoms:
Ru 0.5000 0.5000 0.0000
Ru 0.2500 0.7500 0.5000
Te 0.0000 0.0000 0.0000
Te 0.7500 0.2500 0.5000
H 0.3760 0.1250 0.2500
H 0.3740 0.6250 0.2500
H 0.3750 0.6240 0.7500
H 0.8750 0.6260 0.7500

offset from the most stable computed form = 0.0 meV/atom

8.
The following is a PBE calculation of an optimized crystal structure of MnAlTcGe, from Alexandria via LeMat-Bulk.

a = 4.2796 Å, b = 4.2796 Å, c = 4.2796 Å
α = 60.00°, β = 60.00°, γ = 60.00°
Last column: magnetic moment on the atom in μB.
Fractional coordinates of all 4 atoms:
Ge 0.2500 0.2500 0.2500  -0.05
Mn 0.0000 0.0000 0.0000  2.62
Tc 0.5000 0.5000 0.5000  0.14
Al 0.7500 0.7500 0.7500  -0.04

formation energy = -0.135 eV per atom

9.
The following is a PBE calculation of an optimized crystal structure of CaZn3CuAg, from Alexandria via LeMat-Bulk.

a = 5.3645 Å, b = 8.3484 Å, c = 6.9712 Å
α = 126.78°, β = 90.00°, γ = 90.00°
Fractional coordinates of all 12 atoms:
Ca 0.7500 0.2994 0.5988
Ca 0.2500 0.7006 0.4012
Zn 0.2500 0.1743 0.3486
Zn 0.0000 0.2446 0.0000
Zn 0.5000 0.7554 0.0000
Zn 0.5000 0.2446 0.0000
Zn 0.0000 0.7554 0.0000
Zn 0.7500 0.8257 0.6514
Cu 0.2500 0.9579 0.9158
Cu 0.7500 0.0421 0.0842
Ag 0.2500 0.4179 0.8358
Ag 0.7500 0.5821 0.1642

formation energy = -0.026 eV per atom

10.
The following is a PBE calculation of an optimized crystal structure of NiIr2Ru, from Alexandria via LeMat-Bulk.

a = 5.2105 Å, b = 5.2105 Å, c = 5.2105 Å
α = 149.25°, β = 130.23°, γ = 59.65°
Fractional coordinates of all 4 atoms:
Ir 0.9992 0.9992 0.0000
Ir 0.7264 0.2264 0.5000
Ni 0.4995 0.4995 0.0000
Ru 0.2749 0.7749 0.5000

formation energy = 0.243 eV per atom
offset from the most stable computed form = 253.6 meV/atom

11.
The following is a PBE calculation of an optimized crystal structure of K2YTa, from Alexandria via LeMat-Bulk.

a = 3.1121 Å, b = 6.7365 Å, c = 6.2947 Å
α = 90.00°, β = 90.00°, γ = 90.00°
Last column: magnetic moment on the atom in μB.
Fractional coordinates of all 4 atoms:
K 0.0000 0.0000 0.0109  0.01
K 0.0000 0.0000 0.4891  0.01
Ta 0.5000 0.5000 0.2500  0.65
Y 0.5000 0.5000 0.7500  -0.01

formation energy = 1.228 eV per atom
offset from the most stable computed form = 541.3 meV/atom

12.
The following is a PBE calculation of an optimized crystal structure of CaAl2Ni, from Alexandria via LeMat-Bulk.

a = 5.7251 Å, b = 5.7251 Å, c = 5.7251 Å
α = 149.83°, β = 129.21°, γ = 60.22°
Fractional coordinates of all 4 atoms:
Ni 0.2500 0.7500 0.5000
Ca 0.7500 0.2500 0.5000
Al 0.0463 0.0463 0.0000
Al 0.4537 0.4537 0.0000

formation energy = -0.172 eV per atom

13.
The following is a PBE calculation of an optimized crystal structure of SrReSe2, from Alexandria via LeMat-Bulk.

a = 6.8309 Å, b = 6.8309 Å, c = 6.8309 Å
α = 145.36°, β = 145.36°, γ = 49.80°
Last column: magnetic moment on the atom in μB.
Fractional coordinates of all 4 atoms:
Re 0.7500 0.2500 0.5000  3.36
Se 0.0000 0.0000 0.0000  0.17
Se 0.2500 0.7500 0.5000  0.10
Sr 0.5000 0.5000 0.0000  0.02

formation energy without anion corrections = 246 meV/atom
offset from the most stable computed form = 769.6 meV/atom

14.
The following is a PBE calculation of an optimized crystal structure of AlHgPt2, from Alexandria via LeMat-Bulk.

a = 2.9166 Å, b = 2.9285 Å, c = 8.4310 Å
α = 66.66°, β = 90.00°, γ = 90.00°
Fractional coordinates of all 4 atoms:
Hg 0.5000 0.7500 0.7500
Pt 0.0000 0.9900 0.0436
Pt 0.0000 0.5100 0.4564
Al 0.5000 0.2500 0.2500

formation energy = -0.589 eV per atom
offset from the most stable computed form = 0.0 meV/atom

15.
The following is a PBE calculation of an optimized crystal structure of Ho5TmPb5, from Alexandria via LeMat-Bulk.

a = 6.2341 Å, b = 8.4519 Å, c = 7.3114 Å
α = 102.37°, β = 90.00°, γ = 111.64°
Fractional coordinates of all 11 atoms:
Ho 0.6615 0.3230 0.3325
Ho 0.6631 0.3263 0.8296
Ho 0.0000 0.0000 0.5000
Ho 0.3369 0.6737 0.1704
Ho 0.3385 0.6770 0.6675
Tm 0.0000 0.0000 0.0000
Pb 0.8324 0.6648 0.1681
Pb 0.8335 0.6670 0.6619
Pb 0.5000 0.0000 0.0000
Pb 0.1665 0.3330 0.3381
Pb 0.1676 0.3352 0.8319

formation energy = -0.244 eV per atom

16.
The following is a PBE calculation of an optimized crystal structure of Tb3Y3Th, from Alexandria via LeMat-Bulk.

a = 5.7181 Å, b = 9.5988 Å, c = 9.5983 Å
α = 120.00°, β = 90.00°, γ = 90.00°
Fractional coordinates of all 14 atoms:
Tb 0.7500 0.7586 0.8135
Tb 0.7500 0.0550 0.2414
Tb 0.7500 0.1864 0.9450
Tb 0.2500 0.2414 0.1865
Tb 0.2500 0.9450 0.7586
Tb 0.2500 0.8136 0.0550
Y 0.2500 0.5213 0.6167
Y 0.2500 0.0953 0.4787
Y 0.2500 0.3834 0.9047
Y 0.7500 0.4787 0.3833
Y 0.7500 0.9047 0.5213
Y 0.7500 0.6166 0.0953
Th 0.7500 0.3334 0.6666
Th 0.2500 0.6666 0.3334

formation energy = 0.028 eV per atom
offset from the most stable computed form = 0.0 meV/atom

17.
The following is a PBE calculation of an optimized crystal structure of Li2Cd3IO6, from Alexandria via LeMat-Bulk.

a = 5.7540 Å, b = 5.7540 Å, c = 5.7000 Å
α = 98.00°, β = 98.00°, γ = 120.93°
Fractional coordinates of all 12 atoms:
Li 0.3350 0.6650 0.0000
Li 0.6650 0.3350 0.0000
Cd 0.1761 0.8239 0.5000
Cd 0.8239 0.1761 0.5000
Cd 0.5000 0.5000 0.5000
I 0.0000 0.0000 0.0000
O 0.9005 0.5867 0.7589
O 0.7705 0.7705 0.2357
O 0.0995 0.4133 0.2411
O 0.5867 0.9005 0.7589
O 0.2295 0.2295 0.7643
O 0.4133 0.0995 0.2411

formation energy without anion corrections = -923 meV/atom

18.
The following is a PBE calculation of an optimized crystal structure of EuErTlIn, from Alexandria via LeMat-Bulk.

a = 5.4493 Å, b = 5.4493 Å, c = 5.4493 Å
α = 60.00°, β = 60.00°, γ = 60.00°
Last column: magnetic moment on the atom in μB.
Fractional coordinates of all 4 atoms:
Eu 0.7500 0.7500 0.7500  6.85
Tl 0.0000 0.0000 0.0000  0.00
In 0.5000 0.5000 0.5000  0.00
Er 0.2500 0.2500 0.2500  0.07

formation energy = -0.388 eV per atom

19.
The following is a PBE calculation of an optimized crystal structure of Ca2CuRh, from Alexandria via LeMat-Bulk.

a = 4.9315 Å, b = 4.9316 Å, c = 4.9315 Å
α = 59.99°, β = 59.99°, γ = 59.99°
Fractional coordinates of all 4 atoms:
Ca 0.5000 0.5000 0.5000
Ca 0.0000 0.0000 0.0000
Rh 0.7501 0.7499 0.7500
Cu 0.2498 0.2501 0.2500

formation energy = -0.222 eV per atom

20.
The following is a PBE calculation of an optimized crystal structure of LiSiTc2, from Alexandria via LeMat-Bulk.

a = 3.0944 Å, b = 4.2270 Å, c = 4.0734 Å
α = 90.00°, β = 90.00°, γ = 90.00°
Fractional coordinates of all 4 atoms:
Li 0.5000 0.0000 0.5000
Si 0.0000 0.5000 0.5000
Tc 0.0000 0.0000 0.0000
Tc 0.5000 0.5000 0.0000

formation energy without anion corrections = 22 meV/atom

21.
The following is a PBE calculation of an optimized crystal structure of NaPrY4Se8, from Alexandria via LeMat-Bulk.

a = 8.4800 Å, b = 8.4800 Å, c = 8.5839 Å
α = 60.40°, β = 60.40°, γ = 60.00°
Fractional coordinates of all 14 atoms:
Na 0.3727 0.3727 0.8819
Pr 0.0044 0.0044 0.9867
Y 0.6262 0.6262 0.1213
Y 0.0050 0.4855 0.5045
Y 0.4855 0.0050 0.5045
Y 0.0050 0.0050 0.5045
Se 0.2460 0.7776 0.7304
Se 0.7776 0.2460 0.7304
Se 0.2460 0.2460 0.7304
Se 0.2394 0.2394 0.2819
Se 0.7522 0.2293 0.2663
Se 0.2293 0.7522 0.2663
Se 0.7522 0.7522 0.2663
Se 0.7584 0.7584 0.7247

formation energy without anion corrections = -1771 meV/atom

22.
The following is a PBE calculation of an optimized crystal structure of MgCd2B, from Alexandria via LeMat-Bulk.

a = 5.0593 Å, b = 5.0593 Å, c = 8.0775 Å
α = 71.75°, β = 71.75°, γ = 90.00°
Fractional coordinates of all 8 atoms:
Mg 0.0000 0.0000 0.0000
Mg 0.7500 0.2500 0.5000
B 0.5000 0.5000 0.0000
B 0.2500 0.7500 0.5000
Cd 0.5026 0.1250 0.2500
Cd 0.2474 0.6250 0.2500
Cd 0.3750 0.4974 0.7500
Cd 0.8750 0.7526 0.7500

formation energy = 0.774 eV per atom
offset from the most stable computed form = 0.0 meV/atom

23.
The following is a PBE calculation of an optimized crystal structure of TcSb2Te, from Alexandria via LeMat-Bulk.

a = 5.3835 Å, b = 4.2215 Å, c = 4.2215 Å
α = 90.00°, β = 90.00°, γ = 90.00°
Last column: magnetic moment on the atom in μB.
Fractional coordinates of all 4 atoms:
Sb 0.0000 0.0000 0.0000  -0.03
Sb 0.0000 0.5000 0.5000  -0.03
Tc 0.5000 0.5000 0.0000  1.82
Te 0.5000 0.0000 0.5000  -0.01

formation energy without anion corrections = 733 meV/atom
offset from the most stable computed form = 674.6 meV/atom

24.
The following is a PBE calculation of an optimized crystal structure of Cu3NiPt7, from Alexandria via LeMat-Bulk.

a = 4.8938 Å, b = 6.7132 Å, c = 6.7132 Å
α = 84.73°, β = 116.89°, γ = 116.89°
Last column: magnetic moment on the atom in μB.
Fractional coordinates of all 11 atoms:
Cu 0.0000 0.7816 0.2184  0.01
Cu 0.5000 0.0000 0.0000  0.01
Cu 0.0000 0.2184 0.7816  0.01
Ni 0.5000 0.5000 0.5000  0.41
Pt 0.3668 0.2045 0.2045  0.04
Pt 0.3377 0.0767 0.5861  0.05
Pt 0.6623 0.4139 0.9233  0.05
Pt 0.3377 0.5861 0.0767  0.05
Pt 0.0000 0.5000 0.5000  0.06
Pt 0.6623 0.9233 0.4139  0.05
Pt 0.6332 0.7955 0.7955  0.04

formation energy = 0.193 eV per atom

25.
The following is a PBE calculation of an optimized crystal structure of LiAlZn2Se4, from Alexandria via LeMat-Bulk.

a = 5.7977 Å, b = 5.7977 Å, c = 6.9463 Å
α = 114.66°, β = 114.66°, γ = 90.01°
Fractional coordinates of all 8 atoms:
Li 0.0002 0.0002 0.0004
Al 0.5000 0.5000 0.9999
Zn 0.7500 0.2500 0.5001
Zn 0.2500 0.7500 0.5001
Se 0.6181 0.6181 0.7529
Se 0.3820 0.8652 0.2472
Se 0.8652 0.3820 0.2472
Se 0.1348 0.1348 0.7529

formation energy without anion corrections = -898 meV/atom

no.,theoretical density (Mg/m³),uncorrected energy (eV/atom),M_tot (μB per atom)
1,11.9,-4.852,0.0006
2,6.3,-7.729,0.1000
3,7.6,-3.114,0.0000
4,2.7,-3.158,0.2509
5,7.7,-6.387,0.0000
6,3.6,-1.599,0.0000
7,7.9,-4.349,0.0000
8,7.6,-7.109,0.6930
9,5.4,-2.155,0.0000
10,16.5,-7.952,0.0000
11,4.4,-3.900,0.2888
12,3.5,-3.989,0.0000
13,7.0,-5.029,1.1335
14,15.5,-4.621,0.0000
15,9.7,-4.417,0.0000
16,7.1,-5.787,0.0000
17,6.1,-4.079,0.0000
18,9.3,-5.374,1.8002
19,4.8,-4.085,0.0000
20,7.2,-6.995,0.0000
21,4.4,-6.044,0.0000
22,4.7,-1.752,0.0000
23,8.1,-4.705,0.4815
24,15.4,-5.294,0.0693
25,4.2,-3.666,0.0000